Computed, not measured: a geometry-optimized HgTe2Pt structure at the PBE-GGA level of DFT.

Calculated values
DOS(E_F), states/eV/atom: 0.53
Mass density, Mg/m³: 10.88
Calculated volume, Å³ per cell: 198.75
Magnetic moment, μB per formula unit: 0.0
Raw total energy, eV/atom: -3.00

a b c (Å): 3.919 5.293 9.582
angles (deg): 90.00 90.00 90.00
Space group Cmm2 (No. 35)
Asymmetric unit:
Hg 0.000 0.000 0.000
Te 0.000 0.000 0.598
Te 0.000 0.500 0.256
Pt 0.000 0.500 0.788